11
Lattice="6.663 -0.003 -1.774 0.006 9.405 0.003 -2.186 -0.001 6.539" Properties=species:S:1:pos:R:3 comment="La2Dy7Tm2, optimized geometry, DFT PBE-GGA" density_g_cm3=7.80 e_tot_ev_per_atom=-4.30 formation_enthalpy_0k_ev_per_atom=0.342 vol_a3_per_atom=33.937 pbc="T T T"
Dy 1.148 2.947 5.653
Dy -1.091 2.950 3.270
Dy 5.574 6.452 1.497
Dy 2.243 7.696 2.385
Dy 0.000 0.000 0.000
Dy 2.239 1.705 2.383
Dy 3.335 6.454 -0.885
Tm 0.240 -0.001 4.260
Tm 4.243 9.403 0.508
La 1.128 4.702 1.199
La 3.354 4.700 3.568

4
Lattice="1.961 -1.578 3.820 -2.512 -2.227 3.109 0.559 -4.502 0.593" Properties=species:S:1:pos:R:3 comment="YMn2V, optimized geometry, DFT PBE-GGA" density_g_cm3=6.12 e_tot_ev_per_atom=-8.21 formation_enthalpy_0k_ev_per_atom=0.270 vol_a3_per_atom=16.932 pbc="T T T"
Mn 0.006 -6.231 5.642
Mn 0.002 -2.077 1.881
V 0.000 0.000 0.000
Y 0.004 -4.154 3.761

5
Lattice="4.177 0.000 0.000 0.000 4.177 0.000 0.000 0.000 3.666" Properties=species:S:1:pos:R:3 comment="HRhOF2, optimized geometry, DFT PBE-GGA" density_g_cm3=4.10 e_tot_ev_per_atom=-4.28 vol_a3_per_atom=12.794 pbc="T T T"
Rh 0.000 0.000 0.000
H 2.089 2.089 1.833
F 0.000 2.089 0.000
F 2.089 0.000 0.000
O 0.000 0.000 1.833

6
Lattice="-2.674 0.489 3.803 3.261 -1.566 2.495 -0.958 10.062 3.695" Properties=species:S:1:pos:R:3 comment="TlSbCl, optimized geometry, DFT PBE-GGA" density_g_cm3=6.17 e_tot_ev_per_atom=-3.30 vol_a3_per_atom=32.432 pbc="T T T"
Sb -2.498 7.889 7.101
Sb 0.239 6.906 6.776
Tl -0.532 0.860 3.988
Tl -1.075 4.411 3.055
Cl -0.599 4.290 6.229
Cl 2.308 -0.587 3.242